# 1
# PBE-GGA CePuZnSi, relaxed
data_CePuZnSi
_space_group_name_H-M_alt 'P 1'
_space_group_IT_number 1
_cell_length_a 5.007
_cell_length_b 5.007
_cell_length_c 5.007
_cell_angle_alpha 60.00
_cell_angle_beta 60.00
_cell_angle_gamma 60.00
loop_
_space_group_symop_operation_xyz
'x,y,z'
loop_
_atom_site_label
_atom_site_fract_x
_atom_site_fract_y
_atom_site_fract_z
Zn1 0.250 0.250 0.250
Si1 0.750 0.750 0.750
Ce1 0.500 0.500 0.500
Pu1 0.000 0.000 0.000
# density of states at the Fermi level = 2.5424 states/eV per atom
# formation energy without anion corrections = -0.2729 eV/atom


# 2
# PBE-GGA CeSm14Pu, relaxed
data_CeSm14Pu
_space_group_name_H-M_alt 'P 1'
_space_group_IT_number 1
_cell_length_a 7.316
_cell_length_b 7.316
_cell_length_c 11.644
_cell_angle_alpha 90.00
_cell_angle_beta 90.00
_cell_angle_gamma 120.43
loop_
_space_group_symop_operation_xyz
'x,y,z'
loop_
_atom_site_label
_atom_site_fract_x
_atom_site_fract_y
_atom_site_fract_z
Ce1 0.331 0.669 0.000
Sm1 0.333 0.667 0.500
Sm2 0.833 0.167 0.500
Sm3 0.834 0.669 0.000
Sm4 0.833 0.667 0.500
Sm5 0.331 0.166 0.000
Sm6 0.333 0.167 0.500
Sm7 0.667 0.834 0.753
Sm8 0.667 0.834 0.247
Sm9 0.166 0.333 0.753
Sm10 0.166 0.333 0.247
Sm11 0.168 0.832 0.750
Sm12 0.168 0.832 0.250
Sm13 0.669 0.331 0.753
Sm14 0.669 0.331 0.247
Pu1 0.833 0.167 0.000
# density of states at the Fermi level = 2.0425 states/eV per atom
# energy of formation = 0.067 eV/atom


# 3
# PBE-GGA Ce2SmPu, relaxed
data_Ce2SmPu
_space_group_name_H-M_alt 'P 1'
_space_group_IT_number 1
_cell_length_a 3.663
_cell_length_b 3.663
_cell_length_c 9.474
_cell_angle_alpha 78.85
_cell_angle_beta 78.85
_cell_angle_gamma 60.00
loop_
_space_group_symop_operation_xyz
'x,y,z'
loop_
_atom_site_label
_atom_site_fract_x
_atom_site_fract_y
_atom_site_fract_z
Ce1 0.058 0.058 0.827
Ce2 0.277 0.277 0.168
Sm1 0.503 0.503 0.492
Pu1 0.662 0.662 0.014
# density of states at the Fermi level = 2.3767 states/eV per atom
# energy of formation = 0.308 eV/atom


# 4
# PBE-GGA Ce2SmPu, relaxed
data_Ce2SmPu
_space_group_name_H-M_alt 'P 1'
_space_group_IT_number 1
_cell_length_a 4.754
_cell_length_b 4.881
_cell_length_c 4.881
_cell_angle_alpha 90.00
_cell_angle_beta 90.00
_cell_angle_gamma 90.00
loop_
_space_group_symop_operation_xyz
'x,y,z'
loop_
_atom_site_label
_atom_site_fract_x
_atom_site_fract_y
_atom_site_fract_z
Ce1 0.000 0.000 0.500
Ce2 0.000 0.500 0.000
Sm1 0.500 0.000 0.000
Pu1 0.500 0.500 0.500
# density of states at the Fermi level = 2.7055 states/eV per atom
# energy of formation = 0.137 eV/atom


# 5
# PBE-GGA CeSmPu, relaxed
data_CeSmPu
_space_group_name_H-M_alt 'P 1'
_space_group_IT_number 1
_cell_length_a 3.210
_cell_length_b 5.592
_cell_length_c 5.592
_cell_angle_alpha 120.00
_cell_angle_beta 90.00
_cell_angle_gamma 90.00
loop_
_space_group_symop_operation_xyz
'x,y,z'
loop_
_atom_site_label
_atom_site_fract_x
_atom_site_fract_y
_atom_site_fract_z
Ce1 0.167 0.000 0.000
Sm1 0.167 0.667 0.333
Pu1 0.667 0.333 0.667
# density of states at the Fermi level = 4.1041 states/eV per atom
# energy of formation = 0.257 eV/atom


# 6
# PBE-GGA CeSmPu2, relaxed
data_CeSmPu2
_space_group_name_H-M_alt 'P 1'
_space_group_IT_number 1
_cell_length_a 5.471
_cell_length_b 5.471
_cell_length_c 5.471
_cell_angle_alpha 60.00
_cell_angle_beta 60.00
_cell_angle_gamma 60.00
loop_
_space_group_symop_operation_xyz
'x,y,z'
loop_
_atom_site_label
_atom_site_fract_x
_atom_site_fract_y
_atom_site_fract_z
Ce1 0.000 0.000 0.000
Sm1 0.500 0.500 0.500
Pu1 0.250 0.250 0.250
Pu2 0.750 0.750 0.750
# density of states at the Fermi level = 3.2085 states/eV per atom
# energy of formation = 0.240 eV/atom


# 7
# PBE-GGA Ce3SmPu, relaxed
data_Ce3SmPu
_space_group_name_H-M_alt 'P 1'
_space_group_IT_number 1
_cell_length_a 5.951
_cell_length_b 7.010
_cell_length_c 7.009
_cell_angle_alpha 90.00
_cell_angle_beta 90.00
_cell_angle_gamma 90.00
loop_
_space_group_symop_operation_xyz
'x,y,z'
loop_
_atom_site_label
_atom_site_fract_x
_atom_site_fract_y
_atom_site_fract_z
Ce1 0.512 0.528 0.667
Ce2 0.512 0.030 0.167
Ce3 0.064 0.279 0.917
Ce4 0.064 0.779 0.917
Ce5 0.064 0.279 0.417
Ce6 0.064 0.779 0.417
Sm1 0.629 0.529 0.167
Sm2 0.629 0.028 0.667
Pu1 0.936 0.529 0.667
Pu2 0.936 0.029 0.167
# density of states at the Fermi level = 2.3513 states/eV per atom
# energy of formation = 0.054 eV/atom


# 8
# PBE-GGA CeSmPu, relaxed
data_CeSmPu
_space_group_name_H-M_alt 'P 1'
_space_group_IT_number 1
_cell_length_a 3.453
_cell_length_b 3.453
_cell_length_c 7.617
_cell_angle_alpha 103.10
_cell_angle_beta 103.10
_cell_angle_gamma 90.00
loop_
_space_group_symop_operation_xyz
'x,y,z'
loop_
_atom_site_label
_atom_site_fract_x
_atom_site_fract_y
_atom_site_fract_z
Ce1 0.012 0.012 0.025
Sm1 0.333 0.333 0.666
Pu1 0.655 0.655 0.309
# density of states at the Fermi level = 2.7160 states/eV per atom
# energy of formation = 0.128 eV/atom


Question: The lowest density of states at the Fermi level belongs to which entry?
Answer: CeSm14Pu


Question: Which formula does entry 4 have?
Answer: Ce2SmPu


Copy entry 8 word for word.
# PBE-GGA CeSmPu, relaxed
data_CeSmPu
_space_group_name_H-M_alt 'P 1'
_space_group_IT_number 1
_cell_length_a 3.453
_cell_length_b 3.453
_cell_length_c 7.617
_cell_angle_alpha 103.10
_cell_angle_beta 103.10
_cell_angle_gamma 90.00
loop_
_space_group_symop_operation_xyz
'x,y,z'
loop_
_atom_site_label
_atom_site_fract_x
_atom_site_fract_y
_atom_site_fract_z
Ce1 0.012 0.012 0.025
Sm1 0.333 0.333 0.666
Pu1 0.655 0.655 0.309
# density of states at the Fermi level = 2.7160 states/eV per atom
# energy of formation = 0.128 eV/atom


Question: What is the formula in the seventh record?
Answer: Ce3SmPu